! NdLuTe | OQMD via LeMat-Bulk | PBE-GGA | optimized geometry; values from VASP
&SYSTEM
  ibrav = 0, nat = 3, ntyp = 3
/
ATOMIC_SPECIES
Nd 144.24 Nd.upf
Lu 174.97 Lu.upf
Te 127.60 Te.upf
CELL_PARAMETERS angstrom
0.000 3.733 3.733
3.733 0.000 3.733
3.733 3.733 0.000
ATOMIC_POSITIONS angstrom
Nd 0.000 0.000 0.000
Lu 5.600 5.600 5.600
Te 1.867 1.867 1.867
! **Space group**: No. 216
! **Relative energy among the computed polymorphs**: 0 meV/atom
! **Volume**: 104 Å³/cell